This record from the Alexandria database describes a geometry-optimized Ac2Cd5Au4 structure. The functional is PBE-GGA.

Results
Uncorrected energy: -2.798 eV/atom
DOS(E_F): 5.991 states/eV per cell
Formation energy from the elements: -0.443 eV per atom

abc: 5.985 5.783 9.769
angles: 80.88 72.16 58.84
Element x y z (fractional)
1 Au 0.216 0.305 0.263
2 Au 0.479 0.305 0.737
3 Au 0.784 0.695 0.737
4 Cd 0.500 0.500 0.000
5 Cd 0.500 0.000 0.000
6 Cd 0.750 0.500 0.500
7 Cd 0.000 0.500 0.000
8 Au 0.521 0.695 0.263
9 Ac 0.130 0.000 0.740
10 Ac 0.870 0.000 0.260
11 Cd 0.250 0.500 0.500

---

This record from the Alexandria database describes a geometry-optimized Nd2Ho3N4 structure. The functional is PBE-GGA.

Results
Uncorrected energy: -7.684 eV/atom
Raw formation energy: -1.399 eV/atom
DOS(E_F): 4.406 states/eV per cell

abc: 3.505 6.114 8.042
angles: 75.00 77.41 73.34
Element x y z (fractional)
1 Nd 0.603 0.180 0.614
2 N 0.394 0.303 0.909
3 Ho 0.790 0.601 0.818
4 N 0.606 0.697 0.091
5 Nd 0.397 0.820 0.386
6 N 0.198 0.894 0.711
7 Ho 0.000 0.000 0.000
8 Ho 0.210 0.399 0.182
9 N 0.802 0.106 0.289

---

This record from the Alexandria database describes a geometry-optimized MoAs2Ru2 structure. The functional is PBE-GGA.

Results
Uncorrected energy: -7.653 eV/atom
DOS(E_F): 9.993 states/eV per cell
Formation energy from the elements: 0.083 eV per atom

abc: 7.184 7.184 2.886
angles: 90.00 90.00 90.00
Element x y z (fractional)
1 Ru 0.148 0.648 0.500
2 As 0.156 0.344 0.000
3 As 0.844 0.656 0.000
4 Ru 0.648 0.852 0.500
5 Ru 0.352 0.148 0.500
6 Ru 0.852 0.352 0.500
7 Mo 0.500 0.500 0.000
8 Mo 0.000 0.000 0.000
9 As 0.656 0.156 0.000
10 As 0.344 0.844 0.000

---

The lowest DOS(E_F) belongs to which entry?
Nd2Ho3N4

---

What is the uncorrected energy in the first record?
-2.798 eV/atom